The following is a DFT calculation (PBE) of an optimized crystal structure of PrDyY2Ho5.

- E_form (eV/atom) = 0.1589

Cell and atoms, written as CIF:
```
data_PrDyY2Ho5
_chemical_formula_sum 'Pr4 Dy4 Y8 Ho20'
_space_group_name_H-M_alt 'C m c 21'
_space_group_IT_number 36
_space_group_name_Hall 'C 2c -2'
_cell_length_a 5.622
_cell_length_b 19.766
_cell_length_c 10.576
_cell_angle_alpha 90.00
_cell_angle_beta 90.00
_cell_angle_gamma 90.00
loop_
_atom_site_label
_atom_site_fract_x
_atom_site_fract_y
_atom_site_fract_z
Pr1 0.000 0.083 0.000
Dy1 0.000 0.299 0.559
Y1 0.000 0.387 0.867
Y2 0.000 0.389 0.281
Ho1 0.000 0.021 0.284
Ho2 0.000 0.111 0.569
Ho3 0.000 0.202 0.256
Ho4 0.000 0.218 0.859
Ho5 0.000 0.481 0.572
```

The following is a DFT calculation (PBE) of an optimized crystal structure of PrDy5Y2Ho.

- E_form (eV/atom) = 0.1572

Cell and atoms, written as CIF:
```
data_PrDy5Y2Ho
_chemical_formula_sum 'Pr4 Dy20 Y8 Ho4'
_space_group_name_H-M_alt 'C m c 21'
_space_group_IT_number 36
_space_group_name_Hall 'C 2c -2'
_cell_length_a 5.636
_cell_length_b 19.822
_cell_length_c 10.581
_cell_angle_alpha 90.00
_cell_angle_beta 90.00
_cell_angle_gamma 90.00
loop_
_atom_site_label
_atom_site_fract_x
_atom_site_fract_y
_atom_site_fract_z
Pr1 0.000 0.084 0.000
Dy1 0.000 0.021 0.284
Dy2 0.000 0.112 0.569
Dy3 0.000 0.202 0.255
Dy4 0.000 0.218 0.859
Dy5 0.000 0.481 0.571
Y1 0.000 0.386 0.867
Y2 0.000 0.389 0.280
Ho1 0.000 0.299 0.558
```

The following is a DFT calculation (PBE) of an optimized crystal structure of Pr4DyY2Ho2.

- E_form (eV/atom) = 0.0355

Cell and atoms, written as CIF:
```
data_Pr4DyY2Ho2
_chemical_formula_sum 'Pr8 Dy2 Y4 Ho4'
_space_group_name_H-M_alt 'C 1 2/m 1'
_space_group_IT_number 12
_space_group_name_Hall '-C 2y'
_cell_length_a 17.459
_cell_length_b 3.632
_cell_length_c 9.770
_cell_angle_alpha 90.00
_cell_angle_beta 100.35
_cell_angle_gamma 90.00
loop_
_atom_site_label
_atom_site_fract_x
_atom_site_fract_y
_atom_site_fract_z
Pr1 0.013 0.000 0.324
Pr2 0.176 0.500 0.241
Dy1 0.000 0.500 0.000
Y1 0.156 0.500 0.592
Ho1 0.165 0.000 0.920
```

The following is a DFT calculation (PBE) of an optimized crystal structure of Pr2Dy3YHo6.

- E_form (eV/atom) = 0.0190

Cell and atoms, written as CIF:
```
data_Pr2Dy3YHo6
_chemical_formula_sum 'Pr4 Dy6 Y2 Ho12'
_space_group_name_H-M_alt 'C 1 2/m 1'
_space_group_IT_number 12
_space_group_name_Hall '-C 2y'
_cell_length_a 6.179
_cell_length_b 10.694
_cell_length_c 11.803
_cell_angle_alpha 90.00
_cell_angle_beta 100.00
_cell_angle_gamma 90.00
loop_
_atom_site_label
_atom_site_fract_x
_atom_site_fract_y
_atom_site_fract_z
Pr1 0.000 0.167 0.000
Dy1 0.000 0.000 0.500
Dy2 0.000 0.334 0.500
Y1 0.000 0.500 0.000
Ho1 0.248 0.167 0.747
Ho2 0.248 0.500 0.746
```

The following is a DFT calculation (PBE) of an optimized crystal structure of PrDyY2Ho6.

- E_form (eV/atom) = 0.1255

Cell and atoms, written as CIF:
```
data_PrDyY2Ho6
_chemical_formula_sum 'Pr4 Dy4 Y8 Ho24'
_space_group_name_H-M_alt 'C 1 2/c 1'
_space_group_IT_number 15
_space_group_name_Hall '-C 2yc'
_cell_length_a 9.252
_cell_length_b 14.990
_cell_length_c 9.358
_cell_angle_alpha 90.00
_cell_angle_beta 94.90
_cell_angle_gamma 90.00
loop_
_atom_site_label
_atom_site_fract_x
_atom_site_fract_y
_atom_site_fract_z
Pr1 0.000 0.035 0.250
Dy1 0.000 0.411 0.750
Y1 0.247 0.449 0.448
Ho1 0.061 0.180 0.941
Ho2 0.094 0.384 0.113
Ho3 0.216 0.227 0.318
```

The following is a DFT calculation (PBE) of an optimized crystal structure of PrDyY3Ho.

- E_form (eV/atom) = 0.0228

Cell and atoms, written as CIF:
```
data_PrDyY3Ho
_chemical_formula_sum 'Pr4 Dy4 Y12 Ho4'
_space_group_name_H-M_alt 'C m c m'
_space_group_IT_number 63
_space_group_name_Hall '-C 2c 2'
_cell_length_a 5.065
_cell_length_b 15.207
_cell_length_c 10.138
_cell_angle_alpha 90.00
_cell_angle_beta 90.00
_cell_angle_gamma 90.00
loop_
_atom_site_label
_atom_site_fract_x
_atom_site_fract_y
_atom_site_fract_z
Pr1 0.000 0.000 0.000
Dy1 0.000 0.499 0.250
Y1 0.000 0.167 0.250
Y2 0.000 0.333 0.000
Ho1 0.000 0.167 0.750
```

The following is a DFT calculation (PBE) of an optimized crystal structure of Pr6Dy2Y3Ho.

- E_form (eV/atom) = 0.0088

Cell and atoms, written as CIF:
```
data_Pr6Dy2Y3Ho
_chemical_formula_sum 'Pr12 Dy4 Y6 Ho2'
_space_group_name_H-M_alt 'C 1 2/m 1'
_space_group_IT_number 12
_space_group_name_Hall '-C 2y'
_cell_length_a 6.319
_cell_length_b 10.944
_cell_length_c 11.908
_cell_angle_alpha 90.00
_cell_angle_beta 100.17
_cell_angle_gamma 90.00
loop_
_atom_site_label
_atom_site_fract_x
_atom_site_fract_y
_atom_site_fract_z
Pr1 0.250 0.000 0.249
Pr2 0.250 0.167 0.751
Dy1 0.000 0.167 0.000
Y1 0.000 0.000 0.500
Y2 0.000 0.333 0.500
Ho1 0.000 0.500 0.000
```

The following is a DFT calculation (PBE) of an optimized crystal structure of Pr2Dy5YHo.

- E_form (eV/atom) = 0.2683

Cell and atoms, written as CIF:
```
data_Pr2Dy5YHo
_chemical_formula_sum 'Pr8 Dy20 Y4 Ho4'
_space_group_name_H-M_alt 'I 4/m c m'
_space_group_IT_number 140
_space_group_name_Hall '-I 4 2c'
_cell_length_a 8.625
_cell_length_b 8.625
_cell_length_c 15.874
_cell_angle_alpha 90.00
_cell_angle_beta 90.00
_cell_angle_gamma 90.00
loop_
_atom_site_label
_atom_site_fract_x
_atom_site_fract_y
_atom_site_fract_z
Pr1 0.119 0.381 0.000
Dy1 0.000 0.000 0.000
Dy2 0.214 0.286 0.359
Y1 0.000 0.000 0.250
Ho1 0.000 0.500 0.250
```

The following is a DFT calculation (PBE) of an optimized crystal structure of Pr5DyY2Ho.

- E_form (eV/atom) = 0.3112

Cell and atoms, written as CIF:
```
data_Pr5DyY2Ho
_chemical_formula_sum 'Pr20 Dy4 Y8 Ho4'
_space_group_name_H-M_alt 'I 4/m c m'
_space_group_IT_number 140
_space_group_name_Hall '-I 4 2c'
_cell_length_a 8.670
_cell_length_b 8.670
_cell_length_c 16.770
_cell_angle_alpha 90.00
_cell_angle_beta 90.00
_cell_angle_gamma 90.00
loop_
_atom_site_label
_atom_site_fract_x
_atom_site_fract_y
_atom_site_fract_z
Pr1 0.000 0.000 0.000
Pr2 0.211 0.289 0.143
Dy1 0.000 0.500 0.250
Y1 0.122 0.378 0.500
Ho1 0.000 0.000 0.250
```

The following is a DFT calculation (PBE) of an optimized crystal structure of PrDy2YHo2.

- E_form (eV/atom) = 0.2768

Cell and atoms, written as CIF:
```
data_PrDy2YHo2
_chemical_formula_sum 'Pr2 Dy4 Y2 Ho4'
_space_group_name_H-M_alt 'P n n m'
_space_group_IT_number 58
_space_group_name_Hall '-P 2 2n'
_cell_length_a 6.567
_cell_length_b 17.779
_cell_length_c 3.411
_cell_angle_alpha 90.00
_cell_angle_beta 90.00
_cell_angle_gamma 90.00
loop_
_atom_site_label
_atom_site_fract_x
_atom_site_fract_y
_atom_site_fract_z
Pr1 0.000 0.000 0.000
Dy1 0.227 0.185 0.000
Y1 0.000 0.500 0.000
Ho1 0.224 0.351 0.500
```

The following is a DFT calculation (PBE) of an optimized crystal structure of Pr2DyY2Ho.

- E_form (eV/atom) = 0.0687

Cell and atoms, written as CIF:
```
data_Pr2DyY2Ho
_chemical_formula_sum 'Pr4 Dy2 Y4 Ho2'
_space_group_name_H-M_alt 'P n n m'
_space_group_IT_number 58
_space_group_name_Hall '-P 2 2n'
_cell_length_a 7.113
_cell_length_b 9.844
_cell_length_c 5.685
_cell_angle_alpha 90.00
_cell_angle_beta 90.00
_cell_angle_gamma 90.00
loop_
_atom_site_label
_atom_site_fract_x
_atom_site_fract_y
_atom_site_fract_z
Pr1 0.250 0.166 0.000
Dy1 0.000 0.000 0.500
Y1 0.250 0.333 0.500
Ho1 0.000 0.500 0.000
```

The following is a DFT calculation (PBE) of an optimized crystal structure of PrDyYHo2.

- E_form (eV/atom) = 0.3836

Cell and atoms, written as CIF:
```
data_PrDyYHo2
_chemical_formula_sum 'Pr4 Dy4 Y4 Ho8'
_space_group_name_H-M_alt 'C m c m'
_space_group_IT_number 63
_space_group_name_Hall '-C 2c 2'
_cell_length_a 8.413
_cell_length_b 11.524
_cell_length_c 7.226
_cell_angle_alpha 90.00
_cell_angle_beta 90.00
_cell_angle_gamma 90.00
loop_
_atom_site_label
_atom_site_fract_x
_atom_site_fract_y
_atom_site_fract_z
Pr1 0.000 0.228 0.250
Dy1 0.000 0.221 0.750
Y1 0.000 0.500 0.250
Ho1 0.189 0.000 0.000
```

Please write out number 10 again, unchanged.
The following is a DFT calculation (PBE) of an optimized crystal structure of PrDy2YHo2.

- E_form (eV/atom) = 0.2768

Cell and atoms, written as CIF:
```
data_PrDy2YHo2
_chemical_formula_sum 'Pr2 Dy4 Y2 Ho4'
_space_group_name_H-M_alt 'P n n m'
_space_group_IT_number 58
_space_group_name_Hall '-P 2 2n'
_cell_length_a 6.567
_cell_length_b 17.779
_cell_length_c 3.411
_cell_angle_alpha 90.00
_cell_angle_beta 90.00
_cell_angle_gamma 90.00
loop_
_atom_site_label
_atom_site_fract_x
_atom_site_fract_y
_atom_site_fract_z
Pr1 0.000 0.000 0.000
Dy1 0.227 0.185 0.000
Y1 0.000 0.500 0.000
Ho1 0.224 0.351 0.500
```

Please write out number 2 again, unchanged.
The following is a DFT calculation (PBE) of an optimized crystal structure of PrDy5Y2Ho.

- E_form (eV/atom) = 0.1572

Cell and atoms, written as CIF:
```
data_PrDy5Y2Ho
_chemical_formula_sum 'Pr4 Dy20 Y8 Ho4'
_space_group_name_H-M_alt 'C m c 21'
_space_group_IT_number 36
_space_group_name_Hall 'C 2c -2'
_cell_length_a 5.636
_cell_length_b 19.822
_cell_length_c 10.581
_cell_angle_alpha 90.00
_cell_angle_beta 90.00
_cell_angle_gamma 90.00
loop_
_atom_site_label
_atom_site_fract_x
_atom_site_fract_y
_atom_site_fract_z
Pr1 0.000 0.084 0.000
Dy1 0.000 0.021 0.284
Dy2 0.000 0.112 0.569
Dy3 0.000 0.202 0.255
Dy4 0.000 0.218 0.859
Dy5 0.000 0.481 0.571
Y1 0.000 0.386 0.867
Y2 0.000 0.389 0.280
Ho1 0.000 0.299 0.558
```